Mg2Al2Ga after structural relaxation. Source: the Alexandria database, functional GGA-PBE.

ΔH_f (0 K) = 0.151 eV/atom
mass density = 2.7 g cm⁻³

a b c (Å): 8.430 8.430 2.938
angles (deg): 90.00 90.00 90.00
Fractional positions:
Al1 0.329 0.171 0.500
Al2 0.171 0.671 0.500
Al3 0.829 0.329 0.500
Al4 0.671 0.829 0.500
Mg1 0.372 0.872 0.000
Mg2 0.872 0.628 0.000
Mg3 0.628 0.128 0.000
Mg4 0.128 0.372 0.000
Ga1 0.500 0.500 0.000
Ga2 0.000 0.000 0.000


KMnBe after structural relaxation. Source: the Alexandria database, functional GGA-PBE.

ΔH_f (0 K) = 0.684 eV/atom
mass density = 2.7 g cm⁻³

a b c (Å): 6.425 6.425 6.425
angles (deg): 153.89 147.36 42.27
Site moments in Bohr magnetons follow the coordinates.
Fractional positions:
Be1 0.068 0.068 0.000  -0.12
K1 0.336 0.336 0.000  -0.01
Mn1 0.597 0.597 0.000  3.25


ScMnI2 after structural relaxation. Source: the Alexandria database, functional GGA-PBE.

formation energy (no corrections) = 0.1428 eV/atom
mass density = 4.5 g cm⁻³

a b c (Å): 6.537 6.537 7.675
angles (deg): 64.79 64.79 90.00
Site moments in Bohr magnetons follow the coordinates.
Fractional positions:
Sc1 0.500 0.500 0.000  -0.95
Sc2 0.250 0.750 0.500  -0.95
I1 0.656 0.125 0.250  0.00
I2 0.375 0.344 0.750  0.00
I3 0.094 0.625 0.250  0.00
I4 0.875 0.906 0.750  0.00
Mn1 0.750 0.250 0.500  3.50
Mn2 0.000 0.000 0.000  3.50


ScPaCuSn after structural relaxation. Source: the Alexandria database, functional GGA-PBE.

ΔH_f (0 K) = -0.077 eV/atom
mass density = 8.5 g cm⁻³

a b c (Å): 5.012 5.012 5.012
angles (deg): 60.00 60.00 60.00
Site moments in Bohr magnetons follow the coordinates.
Fractional positions:
Sc1 0.000 0.000 0.000  0.11
Cu1 0.750 0.750 0.750  -0.01
Pa1 0.500 0.500 0.500  0.49
Sn1 0.250 0.250 0.250  0.00


CdIn2Ir after structural relaxation. Source: the Alexandria database, functional GGA-PBE.

ΔH_f (0 K) = 0.078 eV/atom
mass density = 10.3 g cm⁻³

a b c (Å): 3.133 3.133 8.746
angles (deg): 90.00 90.00 89.95
Fractional positions:
Ir1 0.000 0.000 0.495
In1 0.000 0.000 0.999
In2 0.500 0.500 0.303
Cd1 0.500 0.500 0.703


CrSb3Pd12 after structural relaxation. Source: the Alexandria database, functional GGA-PBE.

formation energy (no corrections) = -0.3069 eV/atom
mass density = 10.8 g cm⁻³

a b c (Å): 4.021 4.021 16.097
angles (deg): 90.00 90.00 90.00
Site moments in Bohr magnetons follow the coordinates.
Fractional positions:
Pd1 0.000 0.500 0.626  0.03
Pd2 0.500 0.000 0.880  0.02
Pd3 0.500 0.500 0.500  0.02
Pd4 0.000 0.500 0.374  0.03
Pd5 0.500 0.000 0.626  0.03
Pd6 0.000 0.500 0.120  0.02
Pd7 0.000 0.500 0.880  0.02
Pd8 0.500 0.000 0.374  0.03
Pd9 0.500 0.500 0.250  0.05
Pd10 0.500 0.500 0.000  -0.03
Pd11 0.500 0.500 0.750  0.05
Pd12 0.500 0.000 0.120  0.02
Cr1 0.000 0.000 0.000  3.31
Sb1 0.000 0.000 0.500  0.01
Sb2 0.000 0.000 0.761  0.02
Sb3 0.000 0.000 0.239  0.02


NiPd2Cl after structural relaxation. Source: the Alexandria database, functional GGA-PBE.

formation energy (no corrections) = 0.4425 eV/atom
mass density = 7.8 g cm⁻³

a b c (Å): 7.005 7.005 5.630
angles (deg): 51.53 51.53 90.00
Site moments in Bohr magnetons follow the coordinates.
Fractional positions:
Cl1 0.250 0.750 0.500  0.04
Cl2 0.500 0.500 0.000  0.04
Pd1 0.638 0.125 0.250  0.21
Pd2 0.375 0.362 0.750  0.21
Pd3 0.875 0.888 0.750  0.22
Pd4 0.112 0.625 0.250  0.23
Ni1 0.000 0.000 0.000  0.81
Ni2 0.750 0.250 0.500  0.80


SrTlBi2H after structural relaxation. Source: the Alexandria database, functional GGA-PBE.

mass density = 8.8 g cm⁻³
electronic total energy = -3.2285 eV/atom

a b c (Å): 5.086 5.086 5.168
angles (deg): 90.00 90.00 90.00
Fractional positions:
Bi1 0.500 0.000 0.000
Bi2 0.000 0.500 0.000
Tl1 0.500 0.500 0.500
Sr1 0.000 0.000 0.500
H1 0.000 0.000 0.000


AcDy6Y2Ho after structural relaxation. Source: the Alexandria database, functional GGA-PBE.

ΔH_f (0 K) = 0.133 eV/atom
mass density = 7.7 g cm⁻³

a b c (Å): 9.458 8.906 8.906
angles (deg): 116.78 92.14 92.14
Fractional positions:
Y1 0.948 0.686 0.794
Y2 0.052 0.314 0.206
Y3 0.448 0.794 0.686
Y4 0.552 0.206 0.314
Dy1 0.059 0.125 0.755
Dy2 0.941 0.875 0.245
Dy3 0.441 0.245 0.875
Dy4 0.386 0.518 0.288
Dy5 0.559 0.755 0.125
Dy6 0.680 0.009 0.550
Dy7 0.820 0.450 0.991
Dy8 0.886 0.288 0.518
Dy9 0.180 0.550 0.009
Dy10 0.320 0.991 0.450
Dy11 0.614 0.482 0.712
Dy12 0.114 0.712 0.482
Ho1 0.750 0.588 0.412
Ho2 0.250 0.412 0.588
Ac1 0.250 0.964 0.036
Ac2 0.750 0.036 0.964


MgAlZn6 after structural relaxation. Source: the Alexandria database, functional GGA-PBE.

ΔH_f (0 K) = 0.062 eV/atom
mass density = 5.6 g cm⁻³

a b c (Å): 5.099 5.099 5.099
angles (deg): 90.00 90.00 90.00
Fractional positions:
Zn1 0.500 0.249 0.000
Zn2 0.000 0.500 0.751
Zn3 0.751 0.000 0.500
Zn4 0.500 0.751 0.000
Zn5 0.249 0.000 0.500
Zn6 0.000 0.500 0.249
Al1 0.000 0.000 0.000
Mg1 0.500 0.500 0.500


LaPm2Ir after structural relaxation. Source: the Alexandria database, functional GGA-PBE.

ΔH_f (0 K) = -0.483 eV/atom
mass density = 8.6 g cm⁻³

a b c (Å): 6.599 7.370 9.867
angles (deg): 90.00 90.00 90.00
Fractional positions:
La1 0.643 0.541 0.250
La2 0.357 0.459 0.750
La3 0.143 0.959 0.750
La4 0.857 0.041 0.250
Pm1 0.329 0.174 0.433
Pm2 0.829 0.326 0.933
Pm3 0.171 0.674 0.433
Pm4 0.329 0.174 0.067
Pm5 0.671 0.826 0.567
Pm6 0.171 0.674 0.067
Pm7 0.671 0.826 0.933
Pm8 0.829 0.326 0.567
Ir1 0.441 0.878 0.250
Ir2 0.941 0.622 0.750
Ir3 0.559 0.122 0.750
Ir4 0.059 0.378 0.250


LiPtPb after structural relaxation. Source: the Alexandria database, functional GGA-PBE.

ΔH_f (0 K) = -0.385 eV/atom
mass density = 12.4 g cm⁻³

a b c (Å): 5.030 5.030 5.029
angles (deg): 138.88 138.75 59.68
Fractional positions:
Li1 0.011 0.011 0.000
Pb1 0.330 0.330 0.000
Pt1 0.659 0.659 0.000


no.,magnetization (μB per cell)
1,0.000
2,3.153
3,4.021
4,0.755
5,0.000
6,3.934
7,2.477
8,0.000
9,0.000
10,0.000
11,0.000
12,0.000